Record 1
Density functional theory data (PBEsol) for a geometry-optimized Cs2YAuI6 structure.

As for the size of the total moment: 0.001 μB/cell. The value obtained for the total energy is -3.442 eV/atom. The uncorrected formation energy comes out at -1.12 eV per atom.

The structure belongs to space group Fm-3m (No. 225); the cell edges are 11.847, 11.847 and 11.847 Å and the angles 90.00°, 90.00° and 90.00°. The asymmetric unit holds Cs at (0.250, 0.250, 0.250), Y at (0.000, 0.000, 0.000), Au at (0.000, 0.000, 0.500) and I at (0.000, 0.000, 0.252).

Record 2
Density functional theory data (PBEsol) for a geometry-optimized Li7Pt structure.

For the density of states at the Fermi level, the calculation gives 0.3265 states/eV/atom. As for the size of the total moment: 0.000 μB/cell. The energy of formation from the pure elements comes out at -13.82 kJ/mol of atoms. The value obtained for the total energy is -2.735 eV/atom.

The structure belongs to space group Fm-3m (No. 225); the cell edges are 7.844, 7.844 and 7.844 Å and the angles 90.00°, 90.00° and 90.00°. The asymmetric unit holds Li at (0.000, 0.000, 0.000), Li at (0.000, 0.250, 0.250) and Pt at (0.000, 0.000, 0.500).

Question: What is the size of the total moment in the second record?
Answer: 0.000 μB/cell